{
  "formula": "UTl2Te2O8",
  "functional": "SCAN",
  "state": "PBEsol geometry",
  "lattice": [[5.394, 0.000, 0.000], [0.000, 8.106, 0.000], [-4.614, 0.000, 20.755]],
  "species": ["U", "U", "U", "U", "Tl", "Tl", "Tl", "Tl", "Tl", "Tl", "Tl", "Tl", "Te", "Te", "Te", "Te", "Te", "Te", "Te", "Te", "O", "O", "O", "O", "O", "O", "O", "O", "O", "O", "O", "O", "O", "O", "O", "O", "O", "O", "O", "O", "O", "O", "O", "O", "O", "O", "O", "O", "O", "O", "O", "O"],
  "fractional_positions": [[0.091, 0.189, 0.358], [0.091, 0.311, 0.858], [0.909, 0.689, 0.142], [0.909, 0.811, 0.642], [0.067, 0.685, 0.354], [0.067, 0.815, 0.854], [0.285, 0.096, 0.552], [0.285, 0.404, 0.052], [0.715, 0.596, 0.948], [0.715, 0.904, 0.448], [0.933, 0.185, 0.146], [0.933, 0.315, 0.646], [0.325, 0.557, 0.552], [0.325, 0.943, 0.052], [0.498, 0.567, 0.763], [0.498, 0.933, 0.263], [0.502, 0.067, 0.737], [0.502, 0.433, 0.237], [0.675, 0.057, 0.948], [0.675, 0.443, 0.448], [0.096, 0.653, 0.699], [0.096, 0.847, 0.199], [0.117, 0.743, 0.567], [0.117, 0.757, 0.067], [0.187, 0.504, 0.178], [0.187, 0.996, 0.678], [0.274, 0.037, 0.418], [0.274, 0.463, 0.918], [0.301, 0.113, 0.285], [0.301, 0.387, 0.785], [0.379, 0.115, 0.886], [0.379, 0.385, 0.386], [0.405, 0.648, 0.477], [0.405, 0.852, 0.977], [0.450, 0.728, 0.822], [0.450, 0.772, 0.322], [0.550, 0.228, 0.678], [0.550, 0.272, 0.178], [0.595, 0.148, 0.023], [0.595, 0.352, 0.523], [0.621, 0.615, 0.614], [0.621, 0.885, 0.114], [0.699, 0.613, 0.215], [0.699, 0.887, 0.715], [0.726, 0.537, 0.082], [0.726, 0.963, 0.582], [0.813, 0.004, 0.322], [0.813, 0.496, 0.822], [0.883, 0.243, 0.933], [0.883, 0.257, 0.433], [0.904, 0.153, 0.801], [0.904, 0.347, 0.301]],
  "dft_energy_ev_per_atom": -30.403,
  "crystal_system": "monoclinic",
  "vol_a3_per_atom": 17.4,
  "dos_at_fermi_per_ev_cell": 0.000,
  "space_group": "P2_1/c, No. 14"
}



{
  "formula": "Tm2TeO6",
  "functional": "SCAN",
  "state": "PBEsol geometry",
  "lattice": [[4.885, 0.000, 0.000], [0.000, 4.885, 0.000], [0.000, 0.000, 9.862]],
  "species": ["Tm", "Tm", "Tm", "Tm", "Te", "Te", "O", "O", "O", "O", "O", "O", "O", "O", "O", "O", "O", "O"],
  "fractional_positions": [[0.000, 0.000, 0.166], [0.000, 0.000, 0.834], [0.500, 0.500, 0.334], [0.500, 0.500, 0.666], [0.000, 0.000, 0.500], [0.500, 0.500, 0.000], [0.185, 0.185, 0.352], [0.185, 0.185, 0.648], [0.218, 0.218, 0.000], [0.282, 0.718, 0.500], [0.315, 0.685, 0.148], [0.315, 0.685, 0.852], [0.685, 0.315, 0.148], [0.685, 0.315, 0.852], [0.718, 0.282, 0.500], [0.782, 0.782, 0.000], [0.815, 0.815, 0.352], [0.815, 0.815, 0.648]],
  "de_polymorph_mev_per_atom": 53,
  "crystal_system": "tetragonal",
  "vol_a3_per_atom": 13.1,
  "dos_at_fermi_per_ev_cell": 0.000,
  "space_group": "P4_2/mnm, No. 136"
}



{
  "formula": "Tm2TeO6",
  "functional": "SCAN",
  "state": "PBEsol geometry",
  "lattice": [[5.183, 0.000, 0.000], [0.000, 8.933, 0.000], [0.000, 0.000, 9.788]],
  "species": ["Tm", "Tm", "Tm", "Tm", "Tm", "Tm", "Tm", "Tm", "Te", "Te", "Te", "Te", "O", "O", "O", "O", "O", "O", "O", "O", "O", "O", "O", "O", "O", "O", "O", "O", "O", "O", "O", "O", "O", "O", "O", "O"],
  "fractional_positions": [[0.019, 0.103, 0.464], [0.041, 0.218, 0.867], [0.459, 0.782, 0.367], [0.481, 0.897, 0.964], [0.519, 0.397, 0.536], [0.541, 0.282, 0.133], [0.959, 0.718, 0.633], [0.981, 0.603, 0.036], [0.039, 0.495, 0.350], [0.461, 0.505, 0.850], [0.539, 0.005, 0.650], [0.961, 0.995, 0.150], [0.088, 0.843, 0.028], [0.171, 0.949, 0.304], [0.174, 0.642, 0.820], [0.190, 0.644, 0.235], [0.238, 0.115, 0.069], [0.245, 0.588, 0.496], [0.255, 0.412, 0.996], [0.262, 0.885, 0.569], [0.310, 0.356, 0.735], [0.326, 0.358, 0.320], [0.329, 0.051, 0.804], [0.412, 0.157, 0.528], [0.588, 0.657, 0.972], [0.671, 0.551, 0.696], [0.674, 0.858, 0.180], [0.690, 0.856, 0.765], [0.738, 0.385, 0.931], [0.745, 0.912, 0.504], [0.755, 0.088, 0.004], [0.762, 0.615, 0.431], [0.810, 0.144, 0.265], [0.826, 0.142, 0.680], [0.829, 0.449, 0.196], [0.912, 0.343, 0.472]],
  "de_polymorph_mev_per_atom": 0,
  "crystal_system": "orthorhombic",
  "vol_a3_per_atom": 12.6,
  "dos_at_fermi_per_ev_cell": 0.000,
  "space_group": "P2_12_12_1, No. 19"
}



{
  "formula": "Tm2Te5O13",
  "functional": "SCAN",
  "state": "PBEsol geometry",
  "lattice": [[6.821, 0.000, 0.000], [2.209, 8.221, 0.000], [0.526, 0.100, 10.361]],
  "species": ["Tm", "Tm", "Tm", "Tm", "Te", "Te", "Te", "Te", "Te", "Te", "Te", "Te", "Te", "Te", "O", "O", "O", "O", "O", "O", "O", "O", "O", "O", "O", "O", "O", "O", "O", "O", "O", "O", "O", "O", "O", "O", "O", "O", "O", "O"],
  "fractional_positions": [[0.001, 0.238, 0.238], [0.447, 0.968, 0.819], [0.553, 0.032, 0.181], [0.999, 0.762, 0.762], [0.132, 0.848, 0.099], [0.154, 0.302, 0.635], [0.267, 0.900, 0.477], [0.292, 0.382, 0.967], [0.437, 0.407, 0.305], [0.563, 0.593, 0.695], [0.708, 0.618, 0.033], [0.733, 0.100, 0.523], [0.846, 0.698, 0.365], [0.868, 0.152, 0.901], [0.035, 0.853, 0.563], [0.058, 0.318, 0.034], [0.058, 0.517, 0.694], [0.068, 0.773, 0.282], [0.126, 0.986, 0.899], [0.238, 0.002, 0.183], [0.314, 0.234, 0.291], [0.326, 0.726, 0.776], [0.330, 0.237, 0.774], [0.334, 0.017, 0.615], [0.349, 0.489, 0.123], [0.455, 0.692, 0.513], [0.475, 0.174, 0.998], [0.525, 0.826, 0.002], [0.545, 0.308, 0.487], [0.651, 0.511, 0.877], [0.666, 0.983, 0.385], [0.670, 0.763, 0.226], [0.674, 0.274, 0.224], [0.686, 0.766, 0.709], [0.762, 0.998, 0.817], [0.874, 0.014, 0.101], [0.932, 0.227, 0.718], [0.942, 0.483, 0.306], [0.942, 0.682, 0.966], [0.965, 0.147, 0.437]],
  "dft_energy_ev_per_atom": -20.453,
  "crystal_system": "triclinic",
  "vol_a3_per_atom": 14.5,
  "dos_at_fermi_per_ev_cell": 0.000,
  "space_group": "P-1, No. 2"
}